VASP calculation (GGA-PBE) on a geometry-optimized Cs3Pm3ScS8 structure.

Cell: 8.2071 8.2071 24.6258 Å, 90.00 90.00 120.00°
Space group R-3m (No. 166, hexagonal axes)
Symmetry-distinct sites (fractional):
Cs (0.0000, 0.5000, 0.0000) (multiplicity 9)
Pm (0.0000, 0.5000, 0.5000) (multiplicity 9)
Sc (0.0000, 0.0000, 0.5000) (multiplicity 3)
S (0.0000, 0.0000, 0.2288) (multiplicity 6)
S (0.0198, 0.5099, 0.2250) (multiplicity 18)

## Properties
Magnetization (μB/cell): 0.0
Raw formation energy (eV/atom): -1.707
V (Å³ per atom): 31.93

---

VASP calculation (GGA-PBE) on a geometry-optimized Cs4Pm3ScS8 structure.

Cell: 8.2867 8.2867 24.2077 Å, 90.00 90.00 120.00°
Space group R-3m (No. 166, hexagonal axes)
Symmetry-distinct sites (fractional):
Cs (0.0000, 0.0000, 0.0000) (multiplicity 3)
Cs (0.0000, 0.5000, 0.0000) (multiplicity 9)
Pm (0.0000, 0.5000, 0.5000) (multiplicity 9)
Sc (0.0000, 0.0000, 0.5000) (multiplicity 3)
S (0.0000, 0.0000, 0.2292) (multiplicity 6)
S (0.0165, 0.5082, 0.2268) (multiplicity 18)

## Properties
Magnetization (μB/cell): 0.0
Raw formation energy (eV/atom): -1.768
V (Å³ per atom): 29.99

---

VASP calculation (GGA-PBE) on a geometry-optimized CsPmSeS structure.

Cell: 7.4095 4.2791 8.7126 Å, 90.00 106.52 90.00°
Space group Cm (No. 8)
Symmetry-distinct sites (fractional):
Cs (0.0000, 0.0000, 0.0000) (multiplicity 2)
Pm (0.3365, 0.5000, 0.5064) (multiplicity 2)
Se (0.4364, 0.0000, 0.3070) (multiplicity 2)
S (0.2279, 0.0000, 0.6804) (multiplicity 2)

## Properties
Magnetization (μB/cell): 0.0
Raw formation energy (eV/atom): -1.751
V (Å³ per atom): 33.10

---

VASP calculation (GGA-PBE) on a geometry-optimized CsPmSiS4 structure.

Cell: 6.5175 6.7509 9.5268 Å, 90.00 108.15 90.00°
Space group P2_1/m (No. 11)
Symmetry-distinct sites (fractional):
Cs (0.2268, 0.2500, 0.4352) (multiplicity 2)
Pm (0.2721, 0.2500, 0.9544) (multiplicity 2)
Si (0.2846, 0.7500, 0.1642) (multiplicity 2)
S (0.0898, 0.7500, 0.9388) (multiplicity 2)
S (0.0920, 0.7500, 0.3063) (multiplicity 2)
S (0.4989, 0.0022, 0.8007) (multiplicity 4)

## Properties
Magnetization (μB/cell): 0.0
Raw formation energy (eV/atom): -1.451
V (Å³ per atom): 28.45

---

VASP calculation (GGA-PBE) on a geometry-optimized Cs2PmSi2S6 structure.

Cell: 12.6983 7.3328 8.1181 Å, 90.00 121.94 90.00°
Space group C2/m (No. 12)
Symmetry-distinct sites (fractional):
Cs (0.2247, 0.0000, 0.2112) (multiplicity 4)
Pm (0.0000, 0.0000, 0.5000) (multiplicity 2)
Si (0.0508, 0.5000, 0.1904) (multiplicity 4)
S (0.0235, 0.2589, 0.7736) (multiplicity 8)
S (0.2420, 0.5000, 0.3020) (multiplicity 4)

## Properties
Magnetization (μB/cell): 1.6
Raw formation energy (eV/atom): -1.081
V (Å³ per atom): 29.16

---

VASP calculation (GGA-PBE) on a geometry-optimized Cs3Pm2SmS6 structure.

Cell: 7.2957 12.6371 8.4515 Å, 90.00 106.72 90.00°
Space group C2/m (No. 12)
Symmetry-distinct sites (fractional):
Cs (0.0000, 0.0000, 0.0000) (multiplicity 2)
Cs (0.0000, 0.3331, 0.0000) (multiplicity 4)
Pm (0.0000, 0.1667, 0.5000) (multiplicity 4)
Sm (0.0000, 0.5000, 0.5000) (multiplicity 2)
S (0.2278, 0.3340, 0.6852) (multiplicity 8)
S (0.2297, 0.0000, 0.6854) (multiplicity 4)

## Properties
Magnetization (μB/cell): 0.0
Raw formation energy (eV/atom): -1.819
V (Å³ per atom): 31.09